# BaLi3Hg (SCAN, PBEsol geometry)
# - symmetry = Pm-3m
# - E_form (meV/atom) = -240
data_BaLi3Hg
_chemical_formula_sum 'Ba1 Li3 Hg1'
_symmetry_space_group_name_H-M 'P 1'
_symmetry_Int_Tables_number 1
_cell_length_a 5.194
_cell_length_b 5.194
_cell_length_c 5.194
_cell_angle_alpha 90.00
_cell_angle_beta 90.00
_cell_angle_gamma 90.00
loop_
_symmetry_equiv_pos_as_xyz
'x,y,z'
loop_
_atom_site_label
_atom_site_fract_x
_atom_site_fract_y
_atom_site_fract_z
_atom_site_occupancy
Ba1 0.000 0.000 0.000 1
Li1 0.000 0.500 0.500 1
Li2 0.500 0.000 0.500 1
Li3 0.500 0.500 0.000 1
Hg1 0.500 0.500 0.500 1


# BaLi2HgTe (SCAN, PBEsol geometry)
# - symmetry = P4/mmm
# - ΔE_f (raw) (eV/atom) = 0.556
data_BaLi2HgTe
_chemical_formula_sum 'Ba1 Li2 Hg1 Te1'
_symmetry_space_group_name_H-M 'P 1'
_symmetry_Int_Tables_number 1
_cell_length_a 5.925
_cell_length_b 5.925
_cell_length_c 5.978
_cell_angle_alpha 90.00
_cell_angle_beta 90.00
_cell_angle_gamma 90.00
loop_
_symmetry_equiv_pos_as_xyz
'x,y,z'
loop_
_atom_site_label
_atom_site_fract_x
_atom_site_fract_y
_atom_site_fract_z
_atom_site_occupancy
Ba1 0.000 0.000 0.000 1
Li1 0.000 0.500 0.000 1
Li2 0.500 0.000 0.000 1
Hg1 0.000 0.000 0.500 1
Te1 0.500 0.500 0.500 1


# BaMgHg (SCAN, PBEsol geometry)
# - symmetry = I4mm
# - E_form (meV/atom) = -371
data_BaMgHg
_chemical_formula_sum 'Ba1 Mg1 Hg1'
_symmetry_space_group_name_H-M 'P 1'
_symmetry_Int_Tables_number 1
_cell_length_a 6.741
_cell_length_b 6.741
_cell_length_c 6.741
_cell_angle_alpha 146.84
_cell_angle_beta 146.84
_cell_angle_gamma 47.60
loop_
_symmetry_equiv_pos_as_xyz
'x,y,z'
loop_
_atom_site_label
_atom_site_fract_x
_atom_site_fract_y
_atom_site_fract_z
_atom_site_occupancy
Ba1 0.000 0.000 0.000 1
Mg1 0.711 0.711 0.000 1
Hg1 0.310 0.310 0.000 1


# BaMg2Hg (SCAN, PBEsol geometry)
# - symmetry = Pm
# - E_form (meV/atom) = -272
data_BaMg2Hg
_chemical_formula_sum 'Ba1 Mg2 Hg1'
_symmetry_space_group_name_H-M 'P 1'
_symmetry_Int_Tables_number 1
_cell_length_a 3.788
_cell_length_b 4.754
_cell_length_c 6.967
_cell_angle_alpha 90.00
_cell_angle_beta 105.69
_cell_angle_gamma 90.00
loop_
_symmetry_equiv_pos_as_xyz
'x,y,z'
loop_
_atom_site_label
_atom_site_fract_x
_atom_site_fract_y
_atom_site_fract_z
_atom_site_occupancy
Ba1 0.000 0.000 0.000 1
Mg1 0.304 0.500 0.611 1
Mg2 0.737 0.000 0.476 1
Hg1 0.625 0.500 0.252 1


# BaMgHg4 (SCAN, PBEsol geometry)
# - symmetry = F-43m
# - E_form (meV/atom) = -273
data_BaMgHg4
_chemical_formula_sum 'Ba1 Mg1 Hg4'
_symmetry_space_group_name_H-M 'P 1'
_symmetry_Int_Tables_number 1
_cell_length_a 6.086
_cell_length_b 6.086
_cell_length_c 6.086
_cell_angle_alpha 60.00
_cell_angle_beta 60.00
_cell_angle_gamma 60.00
loop_
_symmetry_equiv_pos_as_xyz
'x,y,z'
loop_
_atom_site_label
_atom_site_fract_x
_atom_site_fract_y
_atom_site_fract_z
_atom_site_occupancy
Ba1 0.000 0.000 0.000 1
Mg1 0.250 0.250 0.250 1
Hg1 0.127 0.624 0.624 1
Hg2 0.624 0.127 0.624 1
Hg3 0.624 0.624 0.127 1
Hg4 0.624 0.624 0.624 1


# BaMg2Hg (SCAN, PBEsol geometry)
# - symmetry = Cm
# - E_form (meV/atom) = -336
data_BaMg2Hg
_chemical_formula_sum 'Ba1 Mg2 Hg1'
_symmetry_space_group_name_H-M 'P 1'
_symmetry_Int_Tables_number 1
_cell_length_a 4.932
_cell_length_b 4.932
_cell_length_c 6.580
_cell_angle_alpha 111.94
_cell_angle_beta 111.94
_cell_angle_gamma 60.01
loop_
_symmetry_equiv_pos_as_xyz
'x,y,z'
loop_
_atom_site_label
_atom_site_fract_x
_atom_site_fract_y
_atom_site_fract_z
_atom_site_occupancy
Ba1 0.000 0.000 0.000 1
Mg1 0.198 0.198 0.593 1
Mg2 0.477 0.477 0.429 1
Hg1 0.803 0.803 0.408 1


# BaMgHg2 (SCAN, PBEsol geometry)
# - symmetry = P4/mmm
# - E_form (meV/atom) = -474
data_BaMgHg2
_chemical_formula_sum 'Ba1 Mg1 Hg2'
_symmetry_space_group_name_H-M 'P 1'
_symmetry_Int_Tables_number 1
_cell_length_a 3.683
_cell_length_b 3.683
_cell_length_c 7.867
_cell_angle_alpha 90.00
_cell_angle_beta 90.00
_cell_angle_gamma 90.00
loop_
_symmetry_equiv_pos_as_xyz
'x,y,z'
loop_
_atom_site_label
_atom_site_fract_x
_atom_site_fract_y
_atom_site_fract_z
_atom_site_occupancy
Ba1 0.000 0.000 0.000 1
Mg1 0.000 0.000 0.500 1
Hg1 0.500 0.500 0.299 1
Hg2 0.500 0.500 0.701 1


# BaMg2Hg (SCAN, PBEsol geometry)
# - symmetry = Imm2
# - E_form (meV/atom) = -229
data_BaMg2Hg
_chemical_formula_sum 'Ba1 Mg2 Hg1'
_symmetry_space_group_name_H-M 'P 1'
_symmetry_Int_Tables_number 1
_cell_length_a 5.421
_cell_length_b 5.421
_cell_length_c 5.421
_cell_angle_alpha 120.10
_cell_angle_beta 119.95
_cell_angle_gamma 89.95
loop_
_symmetry_equiv_pos_as_xyz
'x,y,z'
loop_
_atom_site_label
_atom_site_fract_x
_atom_site_fract_y
_atom_site_fract_z
_atom_site_occupancy
Ba1 0.000 0.000 0.000 1
Mg1 0.500 0.500 0.000 1
Mg2 0.749 0.249 0.500 1
Hg1 0.251 0.751 0.500 1


# BaMgHg2 (SCAN, PBEsol geometry)
# - symmetry = R-3m
# - E_form (meV/atom) = -529
data_BaMgHg2
_chemical_formula_sum 'Ba1 Mg1 Hg2'
_symmetry_space_group_name_H-M 'P 1'
_symmetry_Int_Tables_number 1
_cell_length_a 6.324
_cell_length_b 6.324
_cell_length_c 6.324
_cell_angle_alpha 45.75
_cell_angle_beta 45.75
_cell_angle_gamma 45.75
loop_
_symmetry_equiv_pos_as_xyz
'x,y,z'
loop_
_atom_site_label
_atom_site_fract_x
_atom_site_fract_y
_atom_site_fract_z
_atom_site_occupancy
Ba1 0.000 0.000 0.000 1
Mg1 0.500 0.500 0.500 1
Hg1 0.210 0.210 0.210 1
Hg2 0.790 0.790 0.790 1


# BaMgHg (SCAN, PBEsol geometry)
# - symmetry = F-43m
# - E_form (meV/atom) = -291
data_BaMgHg
_chemical_formula_sum 'Ba1 Mg1 Hg1'
_symmetry_space_group_name_H-M 'P 1'
_symmetry_Int_Tables_number 1
_cell_length_a 5.337
_cell_length_b 5.337
_cell_length_c 5.337
_cell_angle_alpha 60.00
_cell_angle_beta 60.00
_cell_angle_gamma 60.00
loop_
_symmetry_equiv_pos_as_xyz
'x,y,z'
loop_
_atom_site_label
_atom_site_fract_x
_atom_site_fract_y
_atom_site_fract_z
_atom_site_occupancy
Ba1 0.000 0.000 0.000 1
Mg1 0.500 0.500 0.500 1
Hg1 0.250 0.250 0.250 1


# BaMg2Hg (SCAN, PBEsol geometry)
# - symmetry = R-3m
# - E_form (meV/atom) = -329
data_BaMg2Hg
_chemical_formula_sum 'Ba1 Mg2 Hg1'
_symmetry_space_group_name_H-M 'P 1'
_symmetry_Int_Tables_number 1
_cell_length_a 6.692
_cell_length_b 6.692
_cell_length_c 6.692
_cell_angle_alpha 42.37
_cell_angle_beta 42.37
_cell_angle_gamma 42.37
loop_
_symmetry_equiv_pos_as_xyz
'x,y,z'
loop_
_atom_site_label
_atom_site_fract_x
_atom_site_fract_y
_atom_site_fract_z
_atom_site_occupancy
Ba1 0.000 0.000 0.000 1
Mg1 0.201 0.201 0.201 1
Mg2 0.799 0.799 0.799 1
Hg1 0.500 0.500 0.500 1


# BaMgHg (SCAN, PBEsol geometry)
# - symmetry = P-6m2
# - E_form (meV/atom) = -439
data_BaMgHg
_chemical_formula_sum 'Ba1 Mg1 Hg1'
_symmetry_space_group_name_H-M 'P 1'
_symmetry_Int_Tables_number 1
_cell_length_a 5.056
_cell_length_b 5.056
_cell_length_c 4.398
_cell_angle_alpha 90.00
_cell_angle_beta 90.00
_cell_angle_gamma 120.00
loop_
_symmetry_equiv_pos_as_xyz
'x,y,z'
loop_
_atom_site_label
_atom_site_fract_x
_atom_site_fract_y
_atom_site_fract_z
_atom_site_occupancy
Ba1 0.000 0.000 0.000 1
Mg1 0.333 0.667 0.500 1
Hg1 0.667 0.333 0.500 1